4
Lattice="9.037 1.252 -0.697 6.769 6.116 0.697 -7.748 -4.017 2.748" Properties=species:S:1:pos:R:3 comment="Ba2ReCl, optimized geometry, DFT PBE" polymorph_energy_ev_per_atom=0.101 final_energy_ev_per_atom=-4.4611 space_group="Imm2, No. 44" raw_formation_energy_mev_per_atom=74 dos_at_fermi_per_ev_atom=0.97 vol_a3_per_atom=33.27 rho_g_cm3=6.2 pbc="T T T"
Re 2.566 2.474 1.722
Ba 0.943 0.439 0.000
Ba 5.258 0.768 1.026
Cl 7.195 3.354 0.000